15
Lattice="7.068 -6.169 0.000 7.068 6.169 0.000 -3.405 0.000 6.080" Properties=species:S:1:pos:R:3 comment="Tb4Pm3Pr8 | Alexandria | PBE-GGA | optimized geometry" m_tot_mub_per_cell=0.0 final_energy_ev_per_atom=-4.42 formation_enthalpy_0k_ev_per_atom=0.313 pbc="T T T"
Tb 0.000 0.000 0.000
Tb -1.703 0.000 3.040
Tb 3.534 3.085 0.000
Tb 3.534 -3.085 0.000
Pm 1.831 3.085 3.040
Pm 1.831 -3.085 3.040
Pm 7.068 0.000 0.000
Pr 0.890 0.000 4.627
Pr 7.068 3.129 0.000
Pr 3.127 0.000 1.849
Pr 5.365 2.529 3.040
Pr 5.365 -2.529 3.040
Pr 7.604 0.000 4.231
Pr 7.068 -3.129 0.000
Pr 9.840 0.000 1.453

***

4
Lattice="1.876 1.083 10.987 -1.876 1.083 10.987 0.000 -2.167 10.987" Properties=species:S:1:pos:R:3 comment="AcY2Cd | Alexandria | PBE-GGA | optimized geometry" m_tot_mub_per_cell=0.0 polymorph_energy_mev_per_atom=105 final_energy_ev_per_atom=-4.52 formation_enthalpy_0k_ev_per_atom=-0.034 pbc="T T T"
Ac 0.000 0.000 0.000
Y 0.000 0.000 18.849
Y 0.000 0.000 25.079
Cd 0.000 0.000 5.474

***

Looking at DOS(E_F) for the records above, in order, we have 23.6, 5.3 states/eV/cell.